A relaxed structure of NiPt2Cl, computed with GGA-PBE.

Output
formation energy (no corrections)	0.626	eV per formula unit
symmetry	Pmm2, No. 25
energy above the most stable polymorph in this dataset	0.011	eV/atom
spin magnetization	0.219	μB per atom
E	-4.771	eV per atom

a = 2.866 Å, b = 2.889 Å, c = 7.622 Å
α = 90.00°, β = 90.00°, γ = 90.00°
Sites, in units of the cell vectors:
1 Ni 0.000 0.000 0.000
2 Pt 0.000 0.000 0.531
3 Pt 0.500 0.500 0.783
4 Cl 0.000 0.500 0.228

=====

A relaxed structure of NiPtCl4, computed with GGA-PBE.

Output
formation energy (no corrections)	8.055	eV per formula unit
symmetry	F-43m, No. 216
energy above the most stable polymorph in this dataset	1.740	eV/atom
spin magnetization	0.139	μB per atom
E	-1.859	eV per atom

a = 5.605 Å, b = 5.605 Å, c = 5.605 Å
α = 60.00°, β = 60.00°, γ = 60.00°
Sites, in units of the cell vectors:
1 Ni 0.000 0.000 0.000
2 Pt 0.750 0.750 0.750
3 Cl 0.375 0.375 0.375
4 Cl 0.375 0.375 0.875
5 Cl 0.375 0.875 0.375
6 Cl 0.875 0.375 0.375